The following is a DFT calculation (GGA-PBE) of MgCuHg2I after structural relaxation.

Total DFT energy (no corrections) in eV per atom: -1.43
M_tot in μB/f.u.: 0.00
Formation energy without anion corrections in meV per atom: 141

Unit cell a=5.2451 b=5.2451 c=5.4911 alpha=90.00 beta=90.00 gamma=90.00
With the nearest neighbours (Å) after each atom.
Fractional coordinates of all 5 atoms:
Mg 0.0000 0.0000 0.0000  4 I 3.71, 8 Hg 3.80
Cu 0.5000 0.5000 0.5000  4 Hg 2.62, 2 I 2.75
Hg 0.0000 0.5000 0.5000  2 Cu 2.62
Hg 0.5000 0.0000 0.5000  2 Cu 2.62
I 0.5000 0.5000 0.0000  2 Cu 2.75